# TaCu2Sb

Crystalline TaCu2Sb at its relaxed geometry (GGA-PBE, Alexandria via LeMat-Bulk).

Properties
Symmetry = C2/m, No. 12
Formation energy from raw total energies = 309 meV per atom

The structure in POSCAR format:
```
TaCu2Sb
1.0
4.9824 -0.0150 -0.0061
4.0856 2.8518 -0.0061
1.0349 0.3238 4.7468
Cu Sb Ta
2 1 1
direct
0.0051 0.0051 0.9655
0.4949 0.4949 0.5345
0.2500 0.2500 0.2500
0.7500 0.7500 0.7500
```